This record from Alexandria via LeMat-Bulk describes crystalline LiCoAs2 at its relaxed geometry. The functional is PBE.

Summary:
Energy of formation ... -0.1742 eV/atom
Theoretical density ... 6.39 Mg/m³
Space-group type ... Fm-3m (225)
E ... -4.754 eV/atom
Distance to the lowest polymorph of the same formula ... 105 meV/atom

Unit cell a=4.2962 b=4.2962 c=4.2962 alpha=60.00 beta=60.00 gamma=60.00
Closest atoms and distances in Å follow each position.
Atoms (fractional coordinates):
As 0.2500 0.2500 0.2500  4 Co 2.63, 4 Li 2.63
As 0.7500 0.7500 0.7500  4 Li 2.63, 4 Co 2.63
Co 0.5000 0.5000 0.5000  8 As 2.63
Li 0.0000 0.0000 0.0000  8 As 2.63


This record from Alexandria via LeMat-Bulk describes crystalline LiCoAs at its relaxed geometry. The functional is PBE.

Summary:
Energy of formation ... -0.2524 eV/atom
Theoretical density ... 6.13 Mg/m³
Space-group type ... I4mm (107)
E ... -4.809 eV/atom

Unit cell a=4.5817 b=4.5818 c=3.0764 alpha=70.38 beta=70.39 gamma=39.23
Closest atoms and distances in Å follow each position.
Atoms (fractional coordinates):
As 0.9828 0.9828 0.0172  4 Co 2.42, 5 Li 2.55-2.63
Co 0.3509 0.3509 0.6491  4 As 2.42, 5 Li 2.54-2.64
Li 0.6664 0.6664 0.3336  5 Co 2.54-2.64, 5 As 2.55-2.63


This record from Alexandria via LeMat-Bulk describes crystalline LiCoAs at its relaxed geometry. The functional is PBE.

Summary:
Energy of formation ... -0.5040 eV/atom
Theoretical density ... 5.41 Mg/m³
Space-group type ... P2_1/m (11)
E ... -5.060 eV/atom

Unit cell a=3.7608 b=6.1092 c=3.7611 alpha=90.00 beta=90.00 gamma=90.10
Closest atoms and distances in Å follow each position.
Atoms (fractional coordinates):
As 0.9897 0.9978 0.8178  4 Co 2.35
As 0.4909 0.4573 0.3178  4 Co 2.35
Co 0.9902 0.2276 0.3179  4 As 2.35
Co 0.4904 0.2276 0.8178  4 As 2.35
Li 0.9918 0.5576 0.8178  5 As 2.69-2.73, 4 Co 2.76
Li 0.4894 0.8980 0.3177  5 As 2.69-2.73, 4 Co 2.75-2.76


This record from Alexandria via LeMat-Bulk describes crystalline LiCoAs at its relaxed geometry. The functional is PBE.

Summary:
Energy of formation ... -0.2686 eV/atom
Theoretical density ... 5.77 Mg/m³
Space-group type ... P-6m2 (187)
E ... -4.825 eV/atom

Unit cell a=3.9737 b=3.9737 c=2.9616 alpha=90.00 beta=90.00 gamma=120.00
Closest atoms and distances in Å follow each position.
Atoms (fractional coordinates):
As 0.0000 0.0000 0.1664  3 Co 2.29
Co 0.6667 0.3333 0.1668  3 As 2.29
Li 0.3333 0.6667 0.6668  6 As 2.73, 6 Co 2.73, 2 Li 2.96